[1]
A geometry-optimized ZrNbGa2Ru structure, computed with GGA-PBE.

Structure (POSCAR):
```
ZrNbGa2Ru
1.0
4.668 0.000 0.000
0.000 4.931 0.000
0.000 0.000 4.668
Ru Nb Ga Zr
1 1 2 1
direct
0.000 0.000 0.000
0.500 0.500 0.500
0.000 0.000 0.500
0.500 0.000 0.000
0.000 0.500 0.000
```

Properties
E_tot in Ha/atom: -0.23141
Formation energy in meV/atom: 492.4
Fermi-level density of states in states/eV/f.u.: 4.35
Total magnetic moment in Bohr magnetons per cell: 1.78

[2]
A geometry-optimized PmPrEr2 structure, computed with GGA-PBE.

Structure (POSCAR):
```
PmPrEr2
1.0
3.615 0.000 0.000
1.807 3.131 0.000
1.807 1.044 11.626
Pm Pr Er
1 1 2
direct
0.500 0.500 0.499
0.666 0.666 0.001
0.083 0.083 0.750
0.250 0.250 0.251
```

Properties
E_tot in Ha/atom: -0.17066
Formation energy in meV/atom: 20.0
Fermi-level density of states in states/eV/f.u.: 5.86
Total magnetic moment in Bohr magnetons per cell: 0.00

[3]
A geometry-optimized PmScSn structure, computed with GGA-PBE.

Structure (POSCAR):
```
PmScSn
1.0
5.065 0.000 0.000
2.533 4.387 0.000
2.533 1.462 4.136
Sc Sn Pm
1 1 1
direct
0.000 0.000 0.000
0.250 0.250 0.250
0.500 0.500 0.500
```

Properties
E_tot in Ha/atom: -0.19826
Formation energy in meV/atom: -366.7
Fermi-level density of states in states/eV/f.u.: 3.88
Total magnetic moment in Bohr magnetons per cell: 0.01